1.
Re2HgAsF | Alexandria via LeMat-Bulk | meta-GGA SCAN | single point on PBEsol structure; space group = No. 123; Fermi-level density of states = 2.020 states/eV/f.u.
1.0
5.272 0.000 0.000
0.000 5.272 0.000
0.000 0.000 4.913
Re Hg As F
2 1 1 1
Cartesian
0.000 2.636 0.000 Re
2.636 0.000 0.000 Re
0.000 0.000 0.000 Hg
0.000 0.000 2.457 As
2.636 2.636 2.457 F

2.
AsI5F6 | Alexandria via LeMat-Bulk | meta-GGA SCAN | single point on PBEsol structure; space group = No. 15; Fermi-level density of states = 0.000 states/eV/f.u.
1.0
5.252 -8.929 0.000
5.252 8.929 0.000
-5.228 0.000 6.744
As I F
2 10 12
Cartesian
1.331 7.321 5.058 As
3.945 -7.321 1.686 As
-2.059 2.001 6.515 I
-0.413 4.116 6.418 I
3.075 4.116 3.698 I
0.555 -2.001 3.143 I
5.252 0.000 0.000 I
2.638 0.000 3.372 I
4.721 2.001 3.601 I
2.201 -4.116 3.046 I
5.689 -4.116 0.326 I
7.335 -2.001 0.229 I
0.424 1.642 1.434 F
1.172 6.049 3.816 F
-1.110 0.372 2.926 F
-3.723 -0.372 6.298 F
-2.190 -1.642 4.806 F
1.490 6.049 6.300 F
3.786 -6.049 0.444 F
7.466 1.642 1.938 F
8.999 0.372 0.446 F
6.386 -0.372 3.818 F
4.104 -6.049 2.928 F
4.852 -1.642 5.310 F

| no. | formation energy (no corrections) (meV per atom) |
| --- | --- |
| 1 | 2449 |
| 2 | -1280 |